[1]
BeZnOs4 | PBEsol | relaxed

Summary:
symmetry	F-43m
DOS at the Fermi energy	7.4	states/eV/cell
formation energy	0.92	eV/atom

a = 5.067 Å, b = 5.067 Å, c = 5.067 Å
α = 60.00°, β = 60.00°, γ = 60.00°
Fractional coordinates of all 6 atoms:
Be 0.000 0.000 0.000
Zn 0.750 0.750 0.750
Os 0.375 0.375 0.375
Os 0.375 0.375 0.875
Os 0.375 0.875 0.375
Os 0.875 0.375 0.375

---

[2]
Be2ZnOs2 | PBEsol | relaxed

Summary:
symmetry	P4/mbm
DOS at the Fermi energy	0.8	states/eV/cell
formation energy	-0.14	eV/atom

a = 5.854 Å, b = 5.854 Å, c = 3.176 Å
α = 90.00°, β = 90.00°, γ = 90.00°
Fractional coordinates of all 10 atoms:
Be 0.123 0.377 0.000
Be 0.377 0.877 0.000
Be 0.623 0.123 0.000
Be 0.877 0.623 0.000
Zn 0.000 0.000 0.000
Zn 0.500 0.500 0.000
Os 0.173 0.673 0.500
Os 0.327 0.173 0.500
Os 0.673 0.827 0.500
Os 0.827 0.327 0.500

---

[3]
ZrBeOs4 | PBEsol | relaxed

Summary:
symmetry	F-43m
DOS at the Fermi energy	6.6	states/eV/cell
formation energy	0.26	eV/atom

a = 5.115 Å, b = 5.115 Å, c = 5.115 Å
α = 60.00°, β = 60.00°, γ = 60.00°
Fractional coordinates of all 6 atoms:
Zr 0.000 0.000 0.000
Be 0.750 0.750 0.750
Os 0.376 0.376 0.376
Os 0.376 0.376 0.873
Os 0.376 0.873 0.376
Os 0.873 0.376 0.376

---

[4]
BeP | PBEsol | relaxed

Summary:
symmetry	F-43m
DOS at the Fermi energy	1.1	states/eV/cell
formation energy	0.13	eV/atom
energy relative to the lowest polymorph listed for this composition	3.0	kJ/mol of formula units

a = 3.477 Å, b = 3.477 Å, c = 3.477 Å
α = 60.00°, β = 60.00°, γ = 60.00°
Fractional coordinates of all 2 atoms:
Be 0.000 0.000 0.000
P 0.750 0.750 0.750

---

[5]
BeP2 | PBEsol | relaxed

Summary:
symmetry	P6/mmm
DOS at the Fermi energy	1.2	states/eV/cell
formation energy	0.54	eV/atom
energy relative to the lowest polymorph listed for this composition	101.5	kJ/mol of formula units

a = 4.291 Å, b = 4.291 Å, c = 2.344 Å
α = 90.00°, β = 90.00°, γ = 120.00°
Fractional coordinates of all 3 atoms:
Be 0.000 0.000 0.000
P 0.333 0.667 0.500
P 0.667 0.333 0.500

---

[6]
BeP | PBEsol | relaxed

Summary:
symmetry	C2/m
DOS at the Fermi energy	0.7	states/eV/cell
formation energy	0.11	eV/atom
energy relative to the lowest polymorph listed for this composition	0.0	kJ/mol of formula units

a = 4.963 Å, b = 4.963 Å, c = 3.389 Å
α = 109.14°, β = 109.14°, γ = 37.53°
Fractional coordinates of all 4 atoms:
Be 0.151 0.151 0.040
Be 0.849 0.849 0.960
P 0.386 0.386 0.515
P 0.614 0.614 0.485

---

[7]
BeP2 | PBEsol | relaxed

Summary:
symmetry	I4/mmm
DOS at the Fermi energy	1.1	states/eV/cell
formation energy	0.36	eV/atom
energy relative to the lowest polymorph listed for this composition	47.8	kJ/mol of formula units

a = 6.653 Å, b = 6.653 Å, c = 6.653 Å
α = 158.56°, β = 158.56°, γ = 30.50°
Fractional coordinates of all 3 atoms:
Be 0.000 0.000 0.000
P 0.366 0.366 0.000
P 0.634 0.634 0.000

---

[8]
BeP2 | PBEsol | relaxed

Summary:
symmetry	I4/mcm
DOS at the Fermi energy	2.0	states/eV/cell
formation energy	0.31	eV/atom
energy relative to the lowest polymorph listed for this composition	34.8	kJ/mol of formula units

a = 4.615 Å, b = 4.615 Å, c = 4.615 Å
α = 105.72°, β = 105.72°, γ = 117.27°
Fractional coordinates of all 6 atoms:
Be 0.250 0.250 0.000
Be 0.750 0.750 0.000
P 0.138 0.638 0.776
P 0.362 0.138 0.500
P 0.638 0.862 0.500
P 0.862 0.362 0.224

---

[9]
BeP2 | PBEsol | relaxed

Summary:
symmetry	P-3m1
DOS at the Fermi energy	1.0	states/eV/cell
formation energy	0.19	eV/atom
energy relative to the lowest polymorph listed for this composition	0.0	kJ/mol of formula units

a = 3.221 Å, b = 3.221 Å, c = 4.296 Å
α = 90.00°, β = 90.00°, γ = 120.00°
Fractional coordinates of all 3 atoms:
Be 0.000 0.000 0.000
P 0.333 0.667 0.671
P 0.667 0.333 0.329

---

[10]
BeP5 | PBEsol | relaxed

Summary:
symmetry	P-62m
DOS at the Fermi energy	2.2	states/eV/cell
formation energy	0.30	eV/atom

a = 5.575 Å, b = 5.575 Å, c = 3.058 Å
α = 90.00°, β = 90.00°, γ = 120.00°
Fractional coordinates of all 6 atoms:
Be 0.000 0.000 0.000
P 0.000 0.671 0.500
P 0.329 0.329 0.500
P 0.333 0.667 0.000
P 0.667 0.333 0.000
P 0.671 0.000 0.500

---

[11]
BePPb3 | PBEsol | relaxed

Summary:
symmetry	Pm-3m
DOS at the Fermi energy	4.4	states/eV/cell
formation energy	0.97	eV/atom

a = 5.356 Å, b = 5.356 Å, c = 5.356 Å
α = 90.00°, β = 90.00°, γ = 90.00°
Fractional coordinates of all 5 atoms:
Be 0.000 0.000 0.000
P 0.500 0.500 0.500
Pb 0.000 0.500 0.500
Pb 0.500 0.000 0.500
Pb 0.500 0.500 0.000

---

[12]
Be2P2Pb | PBEsol | relaxed

Summary:
symmetry	I4/mmm
DOS at the Fermi energy	1.4	states/eV/cell
formation energy	-0.10	eV/atom

a = 6.872 Å, b = 6.872 Å, c = 6.872 Å
α = 150.00°, β = 150.00°, γ = 42.94°
Fractional coordinates of all 5 atoms:
Be 0.250 0.750 0.500
Be 0.750 0.250 0.500
P 0.148 0.148 0.000
P 0.852 0.852 0.000
Pb 0.500 0.500 0.000

---

[13]
BePPt4 | PBEsol | relaxed

Summary:
symmetry	F-43m
DOS at the Fermi energy	7.3	states/eV/cell
formation energy	0.50	eV/atom

a = 5.155 Å, b = 5.155 Å, c = 5.155 Å
α = 60.00°, β = 60.00°, γ = 60.00°
Fractional coordinates of all 6 atoms:
Be 0.000 0.000 0.000
P 0.750 0.750 0.750
Pt 0.375 0.375 0.375
Pt 0.375 0.375 0.875
Pt 0.375 0.875 0.375
Pt 0.875 0.375 0.375

---

[14]
BePPt | PBEsol | relaxed

Summary:
symmetry	P3m1
DOS at the Fermi energy	1.3	states/eV/cell
formation energy	-0.12	eV/atom
energy relative to the lowest polymorph listed for this composition	0.0	kJ/mol of formula units

a = 2.852 Å, b = 2.852 Å, c = 5.357 Å
α = 90.00°, β = 90.00°, γ = 120.00°
Fractional coordinates of all 3 atoms:
Be 0.000 0.000 0.000
P 0.333 0.667 0.685
Pt 0.667 0.333 0.324

---

[15]
Be2PPt | PBEsol | relaxed

Summary:
symmetry	P2/m
DOS at the Fermi energy	1.0	states/eV/cell
formation energy	-0.17	eV/atom

a = 3.424 Å, b = 3.509 Å, c = 3.847 Å
α = 90.00°, β = 99.33°, γ = 90.00°
Fractional coordinates of all 4 atoms:
Be 0.000 0.000 0.000
Be 0.000 0.500 0.500
P 0.500 0.000 0.500
Pt 0.500 0.500 0.000

---

[16]
BePPt3 | PBEsol | relaxed

Summary:
symmetry	Pm-3m
DOS at the Fermi energy	1.8	states/eV/cell
formation energy	0.45	eV/atom

a = 4.413 Å, b = 4.413 Å, c = 4.413 Å
α = 90.00°, β = 90.00°, γ = 90.00°
Fractional coordinates of all 5 atoms:
Be 0.000 0.000 0.000
P 0.500 0.500 0.500
Pt 0.000 0.500 0.500
Pt 0.500 0.000 0.500
Pt 0.500 0.500 0.000

---

[17]
Be2PPt | PBEsol | relaxed

Summary:
symmetry	I-4m2
DOS at the Fermi energy	1.4	states/eV/cell
formation energy	-0.10	eV/atom

a = 4.511 Å, b = 4.511 Å, c = 4.511 Å
α = 134.67°, β = 134.67°, γ = 66.04°
Fractional coordinates of all 4 atoms:
Be 0.000 0.000 0.000
Be 0.750 0.250 0.500
P 0.250 0.750 0.500
Pt 0.500 0.500 0.000

---

[18]
Be2PPt | PBEsol | relaxed

Summary:
symmetry	Pmmm
DOS at the Fermi energy	0.8	states/eV/cell
formation energy	-0.27	eV/atom

a = 2.988 Å, b = 3.056 Å, c = 4.854 Å
α = 90.00°, β = 90.00°, γ = 90.00°
Fractional coordinates of all 4 atoms:
Be 0.000 0.000 0.231
Be 0.000 0.000 0.769
P 0.500 0.500 0.000
Pt 0.500 0.500 0.500

---

[19]
Be2PPt | PBEsol | relaxed

Summary:
symmetry	P4/mmm
DOS at the Fermi energy	0.9	states/eV/cell
formation energy	-0.17	eV/atom

a = 3.687 Å, b = 3.687 Å, c = 3.325 Å
α = 90.00°, β = 90.00°, γ = 90.00°
Fractional coordinates of all 4 atoms:
Be 0.000 0.500 0.000
Be 0.500 0.000 0.000
P 0.000 0.000 0.500
Pt 0.500 0.500 0.500

---

[20]
BePPtS2 | PBEsol | relaxed

Summary:
energy relative to the elements, uncorrected	765.9	meV per atom
symmetry	P4/mmm
DOS at the Fermi energy	2.7	states/eV/cell

a = 4.687 Å, b = 4.687 Å, c = 4.112 Å
α = 90.00°, β = 90.00°, γ = 90.00°
Fractional coordinates of all 5 atoms:
Be 0.000 0.000 0.000
P 0.500 0.500 0.000
Pt 0.000 0.000 0.500
S 0.000 0.500 0.500
S 0.500 0.000 0.500

---

[21]
BeSbPPt2 | PBEsol | relaxed

Summary:
energy relative to the elements, uncorrected	134.8	meV per atom
symmetry	P4/mmm
DOS at the Fermi energy	1.9	states/eV/cell

a = 4.695 Å, b = 4.695 Å, c = 3.902 Å
α = 90.00°, β = 90.00°, γ = 90.00°
Fractional coordinates of all 5 atoms:
Be 0.000 0.000 0.000
Sb 0.500 0.500 0.000
P 0.000 0.000 0.500
Pt 0.000 0.500 0.500
Pt 0.500 0.000 0.500

---

[22]
RbBeP | PBEsol | relaxed

Summary:
symmetry	Pnma
DOS at the Fermi energy	0.0	states/eV/cell
formation energy	-0.43	eV/atom

a = 6.206 Å, b = 3.722 Å, c = 12.435 Å
α = 90.00°, β = 90.00°, γ = 90.00°
Fractional coordinates of all 12 atoms:
Rb 0.092 0.250 0.160
Rb 0.408 0.750 0.660
Rb 0.592 0.250 0.340
Rb 0.908 0.750 0.840
Be 0.062 0.250 0.465
Be 0.438 0.750 0.965
Be 0.562 0.250 0.035
Be 0.938 0.750 0.535
P 0.136 0.750 0.393
P 0.364 0.250 0.893
P 0.636 0.750 0.107
P 0.864 0.250 0.607

---

[23]
RbBeZn2P | PBEsol | relaxed

Summary:
symmetry	P4/mmm
DOS at the Fermi energy	2.7	states/eV/cell
formation energy	1.83	eV/atom

a = 6.531 Å, b = 6.531 Å, c = 6.165 Å
α = 90.00°, β = 90.00°, γ = 90.00°
Fractional coordinates of all 5 atoms:
Rb 0.000 0.000 0.000
Be 0.500 0.500 0.500
Zn 0.000 0.500 0.000
Zn 0.500 0.000 0.000
P 0.000 0.000 0.500

---

[24]
BeReP2 | PBEsol | relaxed

Summary:
symmetry	Cmmm
DOS at the Fermi energy	1.9	states/eV/cell
formation energy	0.20	eV/atom

a = 4.087 Å, b = 4.087 Å, c = 3.003 Å
α = 90.00°, β = 90.00°, γ = 104.83°
Fractional coordinates of all 4 atoms:
Be 0.000 0.000 0.000
Re 0.500 0.500 0.000
P 0.000 0.500 0.500
P 0.500 0.000 0.500

---

[25]
BeRe4P | PBEsol | relaxed

Summary:
symmetry	F-43m
DOS at the Fermi energy	3.3	states/eV/cell
formation energy	0.94	eV/atom

a = 5.107 Å, b = 5.107 Å, c = 5.107 Å
α = 60.00°, β = 60.00°, γ = 60.00°
Fractional coordinates of all 6 atoms:
Be 0.000 0.000 0.000
Re 0.375 0.375 0.375
Re 0.375 0.375 0.874
Re 0.375 0.874 0.375
Re 0.874 0.375 0.375
P 0.750 0.750 0.750

---

[26]
BePRh | PBEsol | relaxed

Summary:
symmetry	F-43m
DOS at the Fermi energy	1.4	states/eV/cell
formation energy	-0.31	eV/atom

a = 3.773 Å, b = 3.773 Å, c = 3.773 Å
α = 60.00°, β = 60.00°, γ = 60.00°
Fractional coordinates of all 3 atoms:
Be 0.000 0.000 0.000
P 0.250 0.250 0.250
Rh 0.500 0.500 0.500

---

[27]
ZrBePRh2 | PBEsol | relaxed

Summary:
symmetry	P4/mmm
DOS at the Fermi energy	2.2	states/eV/cell
formation energy	-0.12	eV/atom

a = 4.435 Å, b = 4.435 Å, c = 3.920 Å
α = 90.00°, β = 90.00°, γ = 90.00°
Fractional coordinates of all 5 atoms:
Zr 0.000 0.000 0.000
Be 0.500 0.500 0.000
P 0.500 0.500 0.500
Rh 0.000 0.500 0.500
Rh 0.500 0.000 0.500

---

[28]
BePRu3 | PBEsol | relaxed

Summary:
symmetry	Pm-3m
DOS at the Fermi energy	6.4	states/eV/cell
formation energy	0.70	eV/atom

a = 4.006 Å, b = 4.006 Å, c = 4.006 Å
α = 90.00°, β = 90.00°, γ = 90.00°
Fractional coordinates of all 5 atoms:
Be 0.000 0.000 0.000
P 0.500 0.500 0.500
Ru 0.000 0.000 0.500
Ru 0.000 0.500 0.000
Ru 0.500 0.000 0.000

---

[29]
BePRu | PBEsol | relaxed

Summary:
symmetry	I4mm
DOS at the Fermi energy	2.0	states/eV/cell
formation energy	-0.43	eV/atom

a = 4.202 Å, b = 4.202 Å, c = 4.202 Å
α = 138.01°, β = 138.01°, γ = 60.89°
Fractional coordinates of all 3 atoms:
Be 0.000 0.000 0.000
P 0.665 0.665 0.000
Ru 0.329 0.329 0.000

---

The records above yield calculated density values of 15.1; 14.2; 15.1; 2.2; 3.2; 2.8; 3.0; 3.2; 3.1; 3.3; 7.2; 5.9; 14.1; 10.3; 8.9; 12.1; 8.9; 9.1; 9.0; 5.5; 10.7; 2.9; 1.6; 8.8; 13.8; 6.2; 7.3; 8.9; 7.1 g cm⁻³, respectively.